# 1
Below is crystalline AlNiP2C at its relaxed geometry, with properties calculated at the PBE level.

The structure belongs to space group P4/mmm (No. 123); the cell edges are 4.522, 4.522 and 4.373 Å and the angles 90.00°, 90.00° and 90.00°. The inequivalent atoms are Al at (0.000, 0.000, 0.000), Ni at (0.000, 0.000, 0.500), P at (0.000, 0.500, 0.000) and C at (0.500, 0.500, 0.500).

The formation energy is 10.343 eV/f.u. The value obtained for the calculated volume is 89 Å³ per cell.

# 2
Below is crystalline AlTcSe at its relaxed geometry, with properties calculated at the PBE level.

The structure belongs to space group F-43m (No. 216); the cell edges are 6.044, 6.044 and 6.044 Å and the angles 90.00°, 90.00° and 90.00°. The inequivalent atoms are Al at (0.000, 0.000, 0.000), Tc at (0.000, 0.000, 0.500) and Se at (0.250, 0.250, 0.750).

As for the formation energy without anion corrections: 0.55 eV per atom. The value obtained for the calculated volume is 221 Å³ per cell.

# 3
Below is crystalline Mg5HgAu4 at its relaxed geometry, with properties calculated at the PBE level.

The structure belongs to space group P4/mmm (No. 123); the cell edges are 3.354, 3.354 and 16.580 Å and the angles 90.00°, 90.00° and 90.00°. The inequivalent atoms are Mg at (0.000, 0.000, 0.000), Mg at (0.000, 0.000, 0.193), Mg at (0.000, 0.000, 0.385), Hg at (0.500, 0.500, 0.500), Au at (0.500, 0.500, 0.097) and Au at (0.500, 0.500, 0.290).

The formation energy is -5.375 eV/f.u. The value obtained for the calculated volume is 186 Å³ per cell.

# 4
Below is crystalline DyHo7Cd4 at its relaxed geometry, with properties calculated at the PBE level.

The structure belongs to space group C2/m (No. 12); the cell edges are 14.630, 5.679 and 9.686 Å and the angles 90.00°, 121.91° and 90.00°. The inequivalent atoms are Dy at (0.000, 0.000, 0.000), Ho at (0.000, 0.500, 0.000), Ho at (0.072, 0.000, 0.414), Ho at (0.206, 0.000, 0.881), Ho at (0.239, 0.500, 0.695), Cd at (0.042, 0.500, 0.711) and Cd at (0.181, 0.500, 0.341).

The formation energy is 0.205 eV/f.u. The value obtained for the calculated volume is 683 Å³ per cell.

# 5
Below is crystalline LiAg2Os at its relaxed geometry, with properties calculated at the PBE level.

The structure belongs to space group P2/m (No. 10); the cell edges are 2.632, 4.409 and 5.529 Å and the angles 90.00°, 102.55° and 90.00°. The inequivalent atoms are Li at (0.000, 0.000, 0.000), Ag at (0.404, 0.500, 0.246) and Os at (0.000, 0.000, 0.500).

The formation energy is 1.576 eV/f.u. The value obtained for the calculated volume is 63 Å³ per cell.

Calculated raw total energy (eV per atom), listed in the same order as above: -3.8449, -5.3164, -2.6759, -3.3418, -4.3175